ZrHgSb2 | SCAN | PBEsol geometry

Summary:
The calculation puts the calculated volume at 25.50 Å³ per atom. Its energy relative to the elements, uncorrected is -0.19 eV per atom. The space group is No. 166.

```
4
Lattice="-1.1311 -1.2925 -2.7507 -2.4553 -2.1164 0.0926 -8.5015 7.2978 -1.8449" Properties=species:S:1:pos:R:3 pbc="T T T"
Sb -3.2703 1.2589 -1.1583
Sb -8.8176 2.6299 -3.3446
Hg 0.0000 0.0000 0.0000
Zr -6.0440 1.9444 -2.2515
```